Entry 1:
Entry from Alexandria via LeMat-Bulk: a crystal of TlIn3Ir relaxed with PBEsol (meta-GGA SCAN).

abc: 5.1224 5.1224 5.1224
angles: 90.00 90.00 90.00
Closest atoms and distances in Å follow each position.
Positions (direct):
1 Tl 0.5000 0.5000 0.5000  12 In 3.62
2 In 0.0000 0.5000 0.0000  2 Ir 2.56
3 In 0.5000 0.0000 0.0000  2 Ir 2.56
4 In 0.0000 0.0000 0.5000  2 Ir 2.56
5 Ir 0.0000 0.0000 0.0000  6 In 2.56

Summary:
Formation enthalpy at 0 K (eV per atom): -0.143


Entry 2:
Entry from Alexandria via LeMat-Bulk: a crystal of ScNb2B2Ru5 relaxed with PBEsol (meta-GGA SCAN).

abc: 3.0272 9.3569 9.3569
angles: 90.21 90.00 90.00
Closest atoms and distances in Å follow each position.
Positions (direct):
1 Ru 0.5000 0.2200 0.4342  2 B 2.18
2 B 0.0000 0.6227 0.6227  6 Ru 2.18-2.22
3 Ru 0.5000 0.9240 0.2836  2 B 2.19
4 Nb 0.0000 0.3236 0.6764  3 B 2.70-2.85, 10 Ru 2.79-2.89, 2 Nb 3.03
5 Sc 0.0000 0.8254 0.8254  3 B 2.68-2.80, 10 Ru 2.76-2.97
6 Ru 0.5000 0.4342 0.2200  2 B 2.18
7 Ru 0.5000 0.0000 0.0000  4 B 2.19
8 B 0.0000 0.8804 0.1196  6 Ru 2.19
9 Nb 0.0000 0.5000 0.0000  8 Ru 2.62-2.63
10 Ru 0.5000 0.2836 0.9240  2 B 2.19
11 B 0.0000 0.3773 0.3773  6 Ru 2.18-2.22
12 Ru 0.5000 0.5658 0.7800  2 B 2.18
13 Ru 0.5000 0.0760 0.7164  2 B 2.19
14 Ru 0.5000 0.5000 0.5000  4 B 2.22
15 Sc 0.0000 0.1746 0.1746  3 B 2.68-2.80, 10 Ru 2.76-2.97
16 Ru 0.5000 0.7800 0.5658  2 B 2.18
17 B 0.0000 0.1196 0.8804  6 Ru 2.19
18 Nb 0.0000 0.0000 0.5000  8 Ru 2.62-2.63
19 Nb 0.0000 0.6764 0.3236  3 B 2.70-2.85, 10 Ru 2.79-2.89, 2 Nb 3.03
20 Ru 0.5000 0.7164 0.0760  2 B 2.19

Summary:
Formation enthalpy at 0 K (eV per atom): -0.623


Entry 3:
Entry from Alexandria via LeMat-Bulk: a crystal of KFe2Se3 relaxed with PBEsol (meta-GGA SCAN).

abc: 5.2868 7.1001 7.1001
angles: 104.58 90.00 90.00
Closest atoms and distances in Å follow each position.
Positions (direct):
1 Se 0.7500 0.4070 0.1867  2 Fe 2.23
2 Se 0.2500 0.1867 0.4070  2 Fe 2.23
3 Se 0.2500 0.5930 0.8133  2 Fe 2.23
4 K 0.7500 0.3215 0.6785  8 Se 3.27-3.51
5 Fe 0.5000 0.8521 0.8521  4 Se 2.23-2.28
6 K 0.2500 0.6785 0.3215  8 Se 3.27-3.51
7 Fe 0.5000 0.1479 0.1479  4 Se 2.23-2.28
8 Se 0.7500 0.8807 0.1193  4 Fe 2.28
9 Se 0.7500 0.8133 0.5930  2 Fe 2.23
10 Fe 0.0000 0.8521 0.8521  4 Se 2.23-2.28
11 Fe 0.0000 0.1479 0.1479  4 Se 2.23-2.28
12 Se 0.2500 0.1193 0.8807  4 Fe 2.28

Summary:
Uncorrected formation energy (eV per atom): -0.5313